# 1
## BaCa2La2 (PBE)

Data for BaCa2La2 after structural relaxation.

Geometry as POSCAR:
```
BaCa2La2
1.0
5.152 0.000 0.000
0.000 5.152 0.000
2.576 2.576 8.617
Ca Ba La
2 1 2
direct
0.750 0.250 0.500
0.250 0.750 0.500
0.000 0.000 0.000
0.414 0.414 0.171
0.586 0.586 0.829
```

Results
The crystal system is tetragonal. Its offset from the most stable computed form is 200 meV per atom.



# 2
## BaCaLa2 (PBE)

Data for BaCaLa2 after structural relaxation.

Geometry as POSCAR:
```
BaCaLa2
1.0
9.654 0.000 0.000
0.000 9.654 0.000
4.827 4.827 3.586
Ca Ba La
2 2 4
direct
0.500 0.500 0.000
0.250 0.750 0.500
0.000 0.000 0.000
0.750 0.250 0.500
0.629 0.125 0.250
0.121 0.625 0.250
0.375 0.371 0.750
0.875 0.879 0.750
```

Results
The crystal system is tetragonal. Its offset from the most stable computed form is 324 meV per atom.



# 3
## BaCaLa2 (PBE)

Data for BaCaLa2 after structural relaxation.

Geometry as POSCAR:
```
BaCaLa2
1.0
6.435 0.000 0.000
0.000 3.766 0.014
0.000 1.200 7.071
Ca Ba La
1 1 2
direct
0.500 0.750 0.750
0.500 0.250 0.250
0.000 0.993 0.969
0.000 0.507 0.531
```

Results
The crystal system is monoclinic. Its offset from the most stable computed form is 85 meV per atom.



# 4
## Ba2CaLa (PBE)

Data for Ba2CaLa after structural relaxation.

Geometry as POSCAR:
```
Ba2CaLa
1.0
-0.680 -5.224 0.739
3.770 -1.002 -3.617
11.143 -2.954 8.521
Ca Ba La
2 4 2
direct
0.500 0.500 0.000
0.250 0.750 0.500
0.624 0.125 0.250
0.126 0.625 0.250
0.375 0.376 0.750
0.875 0.874 0.750
0.000 0.000 0.000
0.750 0.250 0.500
```

Results
The crystal system is tetragonal. Its offset from the most stable computed form is 275 meV per atom.



# 5
## Ba2CaLa (PBE)

Data for Ba2CaLa after structural relaxation.

Geometry as POSCAR:
```
Ba2CaLa
1.0
3.970 -0.019 0.000
-1.338 3.738 0.000
0.000 0.000 13.206
Ca Ba La
1 2 1
direct
0.500 0.500 0.250
0.000 0.000 0.996
0.000 0.000 0.504
0.500 0.500 0.750
```

Results
The crystal system is orthorhombic. Its offset from the most stable computed form is 36 meV per atom.



# 6
## Ba2CaLa (PBE)

Data for Ba2CaLa after structural relaxation.

Geometry as POSCAR:
```
Ba2CaLa
1.0
13.698 -0.010 -0.006
13.098 4.009 -0.006
13.098 1.955 3.500
Ca Ba La
1 2 1
direct
0.250 0.250 0.250
0.002 0.002 0.002
0.498 0.498 0.498
0.750 0.750 0.750
```

Results
The crystal system is trigonal. Its offset from the most stable computed form is 27 meV per atom.



# 7
## BaCaLa2 (PBE)

Data for BaCaLa2 after structural relaxation.

Geometry as POSCAR:
```
BaCaLa2
1.0
6.982 0.000 0.000
2.848 6.374 0.000
-4.915 -3.187 3.799
Ca Ba La
1 1 2
direct
0.750 0.250 0.500
0.250 0.750 0.500
0.000 0.000 0.000
0.500 0.500 0.000
```

Results
The crystal system is tetragonal. Its offset from the most stable computed form is 110 meV per atom.



# 8
## BaCaLa2 (PBE)

Data for BaCaLa2 after structural relaxation.

Geometry as POSCAR:
```
BaCaLa2
1.0
-1.349 -1.606 -3.276
4.566 1.344 -2.540
3.318 -7.191 2.160
Ca Ba La
1 1 2
direct
0.500 0.500 0.772
0.000 0.000 0.495
0.000 0.000 0.021
0.500 0.500 0.213
```

Results
The crystal system is orthorhombic. Its offset from the most stable computed form is 49 meV per atom.



no.,energy relative to the elements (eV per formula unit),magnetization (μB per formula unit),electronic total energy (eV/atom)
1,1.70,0.000,-2.82
2,1.55,0.001,-3.06
3,0.59,0.000,-3.30
4,1.51,0.944,-2.32
5,0.55,0.007,-2.56
6,0.51,0.015,-2.57
7,0.69,0.000,-3.27
8,0.45,0.000,-3.33